{
  "formula": "Os2RhW",
  "functional": "SCAN",
  "state": "PBEsol geometry",
  "de_polymorph_kj_per_mol_atoms": 0.0,
  "cell": [[3.8338, 0.0000, 0.0000], [0.0000, 3.8452, 0.0000], [0.0000, 0.0000, 3.8452]],
  "species": ["Os", "Os", "W", "Rh"],
  "frac_coords": [[0.0000, 0.5000, 0.0000], [0.0000, 0.0000, 0.5000], [0.5000, 0.0000, 0.0000], [0.5000, 0.5000, 0.5000]]
}

***

{
  "formula": "YOs2Rh",
  "functional": "SCAN",
  "state": "PBEsol geometry",
  "de_polymorph_kj_per_mol_atoms": 11.7,
  "cell": [[-2.3443, -0.5622, -1.4386], [1.4352, -1.7592, -1.6513], [-1.6570, -6.1380, 5.0991]],
  "species": ["Os", "Os", "Y", "Rh"],
  "frac_coords": [[0.0000, 0.0000, 0.7824], [0.0000, 0.0000, 0.2176], [0.5000, 0.5000, 0.5000], [0.5000, 0.5000, 0.0000]]
}

***

{
  "formula": "YOs2Rh",
  "functional": "SCAN",
  "state": "PBEsol geometry",
  "de_polymorph_kj_per_mol_atoms": 0.0,
  "cell": [[-1.3599, -1.1597, -2.3334], [1.3127, -4.1548, 1.2998], [-4.0205, -0.4649, 2.5743]],
  "species": ["Os", "Os", "Rh", "Y"],
  "frac_coords": [[0.5000, 0.5000, 0.0000], [0.0000, 0.0000, 0.0000], [0.5000, 0.0000, 0.5000], [0.0000, 0.5000, 0.5000]]
}

***

{
  "formula": "YOsRh2",
  "functional": "SCAN",
  "state": "PBEsol geometry",
  "cell": [[-0.1455, 1.1752, -4.3421], [-1.3173, -2.9882, -3.0971], [-3.9680, 0.4994, -2.0644]],
  "species": ["Os", "Rh", "Y", "Rh"],
  "frac_coords": [[0.5000, 0.5000, 0.5000], [0.7500, 0.7500, 0.7500], [0.2500, 0.2500, 0.2500], [0.0000, 0.0000, 0.0000]]
}

***

| no. | raw total energy (eV per atom) | N(E_F) (states/eV per cell) | formation energy (kJ per mole of atoms) |
| --- | --- | --- | --- |
| 1 | -61.903 | 2.777 | -9.48 |
| 2 | -51.073 | 4.125 | 26.08 |
| 3 | -51.195 | 4.184 | 14.37 |
| 4 | -41.696 | 4.246 | 11.58 |